Material: ScPa2Al
Method: DFT, PBE-GGA
State: optimized geometry

Computed properties:
N(E_F) = 1.78 states/eV per atom
Magnetic moment = 0.0 μB/f.u.
Formation energy from the elements = -0.115 eV/atom

Cell and atoms, written as CIF:
```
data_ScPa2Al
_cell_length_a 4.311
_cell_length_b 4.311
_cell_length_c 4.841
_cell_angle_alpha 90.00
_cell_angle_beta 90.00
_cell_angle_gamma 90.00
_symmetry_space_group_name_H-M 'P 4/m m m'
_symmetry_Int_Tables_number 123
_symmetry_space_group_name_Hall '-P 4 2'
loop_
_atom_site_label
_atom_site_type_symbol
_atom_site_fract_x
_atom_site_fract_y
_atom_site_fract_z
Sc1 Sc 0.000 0.000 0.000
Pa1 Pa 0.000 0.500 0.500
Al1 Al 0.500 0.500 0.000
```

=====

Material: Sc2PaAl9
Method: DFT, PBE-GGA
State: optimized geometry

Computed properties:
N(E_F) = 0.84 states/eV per atom
Magnetic moment = 0.0 μB/f.u.
Formation energy from the elements = -0.296 eV/atom

Cell and atoms, written as CIF:
```
data_Sc2PaAl9
_cell_length_a 5.4150
_cell_length_b 5.4150
_cell_length_c 25.9416
_cell_angle_alpha 90.00
_cell_angle_beta 90.00
_cell_angle_gamma 120.00
_symmetry_space_group_name_H-M 'R -3 m'
_symmetry_Int_Tables_number 166
_symmetry_space_group_name_Hall '-R 3 2"'
loop_
_atom_site_label
_atom_site_type_symbol
_atom_site_fract_x
_atom_site_fract_y
_atom_site_fract_z
Sc1 Sc 0.0000 0.0000 0.1406
Pa1 Pa 0.0000 0.0000 0.0000
Al1 Al 0.0000 0.0000 0.3346
Al2 Al 0.0000 0.0000 0.5000
Al3 Al 0.0066 0.5033 0.9151
```

=====

Material: ScPa2Al
Method: DFT, PBE-GGA
State: optimized geometry

Computed properties:
N(E_F) = 1.73 states/eV per atom
Magnetic moment = 0.0 μB/f.u.
Formation energy from the elements = 0.125 eV/atom

Cell and atoms, written as CIF:
```
data_ScPa2Al
_cell_length_a 3.0823
_cell_length_b 3.0823
_cell_length_c 33.3440
_cell_angle_alpha 90.00
_cell_angle_beta 90.00
_cell_angle_gamma 120.00
_symmetry_space_group_name_H-M 'R -3 m'
_symmetry_Int_Tables_number 166
_symmetry_space_group_name_Hall '-R 3 2"'
loop_
_atom_site_label
_atom_site_type_symbol
_atom_site_fract_x
_atom_site_fract_y
_atom_site_fract_z
Sc1 Sc 0.0000 0.0000 0.0000
Pa1 Pa 0.0000 0.0000 0.0882
Al1 Al 0.0000 0.0000 0.5000
```

=====

Material: ScPaAlTc
Method: DFT, PBE-GGA
State: optimized geometry

Computed properties:
N(E_F) = 0.08 states/eV per atom
Magnetic moment = 0.0 μB/f.u.
Formation energy from the elements = -0.298 eV/atom

Cell and atoms, written as CIF:
```
data_ScPaAlTc
_cell_length_a 6.670
_cell_length_b 6.670
_cell_length_c 6.670
_cell_angle_alpha 90.00
_cell_angle_beta 90.00
_cell_angle_gamma 90.00
_symmetry_space_group_name_H-M 'F -4 3 m'
_symmetry_Int_Tables_number 216
_symmetry_space_group_name_Hall 'F -4 2 3'
loop_
_atom_site_label
_atom_site_type_symbol
_atom_site_fract_x
_atom_site_fract_y
_atom_site_fract_z
Sc1 Sc 0.000 0.000 0.000
Pa1 Pa 0.250 0.250 0.750
Al1 Al 0.250 0.250 0.250
Tc1 Tc 0.000 0.000 0.500
```

=====

Material: ScPaTiAl
Method: DFT, PBE-GGA
State: optimized geometry

Computed properties:
N(E_F) = 1.95 states/eV per atom
Magnetic moment = 0.0 μB/f.u.
Formation energy from the elements = -0.018 eV/atom

Cell and atoms, written as CIF:
```
data_ScPaTiAl
_cell_length_a 6.838
_cell_length_b 6.838
_cell_length_c 6.838
_cell_angle_alpha 90.00
_cell_angle_beta 90.00
_cell_angle_gamma 90.00
_symmetry_space_group_name_H-M 'F -4 3 m'
_symmetry_Int_Tables_number 216
_symmetry_space_group_name_Hall 'F -4 2 3'
loop_
_atom_site_label
_atom_site_type_symbol
_atom_site_fract_x
_atom_site_fract_y
_atom_site_fract_z
Sc1 Sc 0.000 0.000 0.000
Pa1 Pa 0.250 0.250 0.250
Ti1 Ti 0.000 0.000 0.500
Al1 Al 0.250 0.250 0.750
```

=====

Material: ScPaAlTl
Method: DFT, PBE-GGA
State: optimized geometry

Computed properties:
N(E_F) = 2.05 states/eV per atom
Magnetic moment = 1.1 μB/f.u.
Formation energy from the elements = 0.023 eV/atom

Cell and atoms, written as CIF:
```
data_ScPaAlTl
_cell_length_a 7.242
_cell_length_b 7.242
_cell_length_c 7.242
_cell_angle_alpha 90.00
_cell_angle_beta 90.00
_cell_angle_gamma 90.00
_symmetry_space_group_name_H-M 'F -4 3 m'
_symmetry_Int_Tables_number 216
_symmetry_space_group_name_Hall 'F -4 2 3'
loop_
_atom_site_label
_atom_site_type_symbol
_atom_site_fract_x
_atom_site_fract_y
_atom_site_fract_z
Sc1 Sc 0.000 0.000 0.000
Pa1 Pa 0.000 0.000 0.500
Al1 Al 0.250 0.250 0.750
Tl1 Tl 0.250 0.250 0.250
```

=====

Material: ScUPaAl
Method: DFT, PBE-GGA
State: optimized geometry

Computed properties:
N(E_F) = 2.76 states/eV per atom
Magnetic moment = 3.2 μB/f.u.
Formation energy from the elements = 0.179 eV/atom

Cell and atoms, written as CIF:
```
data_ScUPaAl
_cell_length_a 7.034
_cell_length_b 7.034
_cell_length_c 7.034
_cell_angle_alpha 90.00
_cell_angle_beta 90.00
_cell_angle_gamma 90.00
_symmetry_space_group_name_H-M 'F -4 3 m'
_symmetry_Int_Tables_number 216
_symmetry_space_group_name_Hall 'F -4 2 3'
loop_
_atom_site_label
_atom_site_type_symbol
_atom_site_fract_x
_atom_site_fract_y
_atom_site_fract_z
Sc1 Sc 0.000 0.000 0.000
U1 U 0.000 0.000 0.500
Pa1 Pa 0.250 0.250 0.250
Al1 Al 0.250 0.250 0.750
```

=====

Material: ScPaAlZn
Method: DFT, PBE-GGA
State: optimized geometry

Computed properties:
N(E_F) = 1.28 states/eV per atom
Magnetic moment = 0.0 μB/f.u.
Formation energy from the elements = -0.133 eV/atom

Cell and atoms, written as CIF:
```
data_ScPaAlZn
_cell_length_a 6.946
_cell_length_b 6.946
_cell_length_c 6.946
_cell_angle_alpha 90.00
_cell_angle_beta 90.00
_cell_angle_gamma 90.00
_symmetry_space_group_name_H-M 'F -4 3 m'
_symmetry_Int_Tables_number 216
_symmetry_space_group_name_Hall 'F -4 2 3'
loop_
_atom_site_label
_atom_site_type_symbol
_atom_site_fract_x
_atom_site_fract_y
_atom_site_fract_z
Sc1 Sc 0.000 0.000 0.000
Pa1 Pa 0.000 0.000 0.500
Al1 Al 0.250 0.250 0.750
Zn1 Zn 0.250 0.250 0.250
```

=====

Material: ScPaAl2Zn2
Method: DFT, PBE-GGA
State: optimized geometry

Computed properties:
N(E_F) = 0.82 states/eV per atom
Magnetic moment = 0.0 μB/f.u.
Formation energy from the elements = -0.281 eV/atom

Cell and atoms, written as CIF:
```
data_ScPaAl2Zn2
_cell_length_a 4.4050
_cell_length_b 4.4050
_cell_length_c 6.8545
_cell_angle_alpha 90.00
_cell_angle_beta 90.00
_cell_angle_gamma 120.00
_symmetry_space_group_name_H-M 'P -3 m 1'
_symmetry_Int_Tables_number 164
_symmetry_space_group_name_Hall '-P 3 2"'
loop_
_atom_site_label
_atom_site_type_symbol
_atom_site_fract_x
_atom_site_fract_y
_atom_site_fract_z
Sc1 Sc 0.0000 0.0000 0.0000
Pa1 Pa 0.0000 0.0000 0.5000
Al1 Al 0.3333 0.6667 0.2345
Zn1 Zn 0.3333 0.6667 0.7735
```

=====

Material: ZrScPaAl
Method: DFT, PBE-GGA
State: optimized geometry

Computed properties:
N(E_F) = 1.46 states/eV per atom
Magnetic moment = 1.0 μB/f.u.
Formation energy from the elements = -0.015 eV/atom

Cell and atoms, written as CIF:
```
data_ZrScPaAl
_cell_length_a 7.033
_cell_length_b 7.033
_cell_length_c 7.033
_cell_angle_alpha 90.00
_cell_angle_beta 90.00
_cell_angle_gamma 90.00
_symmetry_space_group_name_H-M 'F -4 3 m'
_symmetry_Int_Tables_number 216
_symmetry_space_group_name_Hall 'F -4 2 3'
loop_
_atom_site_label
_atom_site_type_symbol
_atom_site_fract_x
_atom_site_fract_y
_atom_site_fract_z
Zr1 Zr 0.000 0.000 0.000
Sc1 Sc 0.000 0.000 0.500
Pa1 Pa 0.250 0.250 0.250
Al1 Al 0.250 0.250 0.750
```

=====

Material: Pa2Al2Se7
Method: DFT, PBE-GGA
State: optimized geometry

Computed properties:
N(E_F) = 0.91 states/eV per atom
Magnetic moment = 2.0 μB/f.u.
Uncorrected formation energy = -931.0 meV per atom

Cell and atoms, written as CIF:
```
data_Pa2Al2Se7
_cell_length_a 9.093
_cell_length_b 11.236
_cell_length_c 6.690
_cell_angle_alpha 90.00
_cell_angle_beta 101.45
_cell_angle_gamma 90.00
_symmetry_space_group_name_H-M 'C 1 2/m 1'
_symmetry_Int_Tables_number 12
loop_
_symmetry_equiv_pos_as_xyz
'x,y,z'
'-x,-y,-z'
'-x,y,-z'
'x,-y,z'
'x+1/2,y+1/2,z'
'-x+1/2,-y+1/2,-z'
'-x+1/2,y+1/2,-z'
'x+1/2,-y+1/2,z'
loop_
_atom_site_label
_atom_site_type_symbol
_atom_site_fract_x
_atom_site_fract_y
_atom_site_fract_z
Pa1 Pa 0.000 0.193 0.000
Al1 Al 0.231 0.500 0.408
Se1 Se 0.000 0.500 0.500
Se2 Se 0.097 0.000 0.262
Se3 Se 0.243 0.181 0.773
```

=====

Material: Pa2AlSe6
Method: DFT, PBE-GGA
State: optimized geometry

Computed properties:
N(E_F) = 0.81 states/eV per atom
Magnetic moment = 1.1 μB/f.u.
Uncorrected formation energy = -1164.1 meV per atom

Cell and atoms, written as CIF:
```
data_Pa2AlSe6
_cell_length_a 6.413
_cell_length_b 7.301
_cell_length_c 11.199
_cell_angle_alpha 90.00
_cell_angle_beta 124.81
_cell_angle_gamma 90.00
_symmetry_space_group_name_H-M 'P 1 21/c 1'
_symmetry_Int_Tables_number 14
loop_
_symmetry_equiv_pos_as_xyz
'x,y,z'
'-x,-y,-z'
'-x,y+1/2,-z+1/2'
'x,-y+1/2,z+1/2'
loop_
_atom_site_label
_atom_site_type_symbol
_atom_site_fract_x
_atom_site_fract_y
_atom_site_fract_z
Pa1 Pa 0.200 0.129 0.254
Al1 Al 0.500 0.000 0.000
Se1 Se 0.102 0.169 0.941
Se2 Se 0.281 0.680 0.942
Se3 Se 0.387 0.031 0.745
```

=====

Material: Pa2AlSe
Method: DFT, PBE-GGA
State: optimized geometry

Computed properties:
N(E_F) = 1.34 states/eV per atom
Magnetic moment = 0.0 μB/f.u.
Uncorrected formation energy = -39.6 meV per atom

Cell and atoms, written as CIF:
```
data_Pa2AlSe
_cell_length_a 3.2922
_cell_length_b 3.2922
_cell_length_c 31.6482
_cell_angle_alpha 90.00
_cell_angle_beta 90.00
_cell_angle_gamma 120.00
_symmetry_space_group_name_H-M 'R -3 m'
_symmetry_Int_Tables_number 166
_symmetry_space_group_name_Hall '-R 3 2"'
loop_
_atom_site_label
_atom_site_type_symbol
_atom_site_fract_x
_atom_site_fract_y
_atom_site_fract_z
Pa1 Pa 0.0000 0.0000 0.0966
Al1 Al 0.0000 0.0000 0.0000
Se1 Se 0.0000 0.0000 0.5000
```

=====

Material: Pa3Al5Se12
Method: DFT, PBE-GGA
State: optimized geometry

Computed properties:
N(E_F) = 0.96 states/eV per atom
Magnetic moment = 4.7 μB/f.u.
Uncorrected formation energy = -952.1 meV per atom

Cell and atoms, written as CIF:
```
data_Pa3Al5Se12
_cell_length_a 15.824
_cell_length_b 15.824
_cell_length_c 15.824
_cell_angle_alpha 90.00
_cell_angle_beta 90.00
_cell_angle_gamma 90.00
_symmetry_space_group_name_H-M 'I a -3 d'
_symmetry_Int_Tables_number 230
_symmetry_space_group_name_Hall '-I 4bd 2c 3'
loop_
_atom_site_label
_atom_site_type_symbol
_atom_site_fract_x
_atom_site_fract_y
_atom_site_fract_z
Pa1 Pa 0.000 0.250 0.125
Al1 Al 0.000 0.000 0.000
Al2 Al 0.000 0.250 0.375
Se1 Se 0.027 0.060 0.650
```

=====

Material: PaAl2Se6
Method: DFT, PBE-GGA
State: optimized geometry

Computed properties:
N(E_F) = 0.07 states/eV per atom
Magnetic moment = 1.0 μB/f.u.
Uncorrected formation energy = -839.4 meV per atom

Cell and atoms, written as CIF:
```
data_PaAl2Se6
_cell_length_a 12.617
_cell_length_b 12.148
_cell_length_c 7.113
_cell_angle_alpha 90.00
_cell_angle_beta 102.90
_cell_angle_gamma 90.00
_symmetry_space_group_name_H-M 'C 1 2/c 1'
_symmetry_Int_Tables_number 15
loop_
_symmetry_equiv_pos_as_xyz
'x,y,z'
'-x,-y,-z'
'-x,y,-z+1/2'
'x,-y,z+1/2'
'x+1/2,y+1/2,z'
'-x+1/2,-y+1/2,-z'
'-x+1/2,y+1/2,-z+1/2'
'x+1/2,-y+1/2,z+1/2'
loop_
_atom_site_label
_atom_site_type_symbol
_atom_site_fract_x
_atom_site_fract_y
_atom_site_fract_z
Pa1 Pa 0.000 0.106 0.250
Al1 Al 0.181 0.424 0.303
Se1 Se 0.103 0.429 0.586
Se2 Se 0.120 0.072 0.632
Se3 Se 0.149 0.244 0.165
```

=====

Material: Pa2AlSe6
Method: DFT, PBE-GGA
State: optimized geometry

Computed properties:
N(E_F) = 0.41 states/eV per atom
Magnetic moment = 0.8 μB/f.u.
Uncorrected formation energy = -1069.3 meV per atom

Cell and atoms, written as CIF:
```
data_Pa2AlSe6
_cell_length_a 6.414
_cell_length_b 6.414
_cell_length_c 12.434
_cell_angle_alpha 90.00
_cell_angle_beta 90.00
_cell_angle_gamma 90.00
_symmetry_space_group_name_H-M 'P 42/m n m'
_symmetry_Int_Tables_number 136
_symmetry_space_group_name_Hall '-P 4n 2n'
loop_
_atom_site_label
_atom_site_type_symbol
_atom_site_fract_x
_atom_site_fract_y
_atom_site_fract_z
Pa1 Pa 0.000 0.000 0.165
Al1 Al 0.000 0.000 0.500
Se1 Se 0.190 0.190 0.344
Se2 Se 0.207 0.207 0.000
```

=====

Material: PaAlSe3
Method: DFT, PBE-GGA
State: optimized geometry

Computed properties:
N(E_F) = 0.73 states/eV per atom
Magnetic moment = 1.0 μB/f.u.
Uncorrected formation energy = -963.0 meV per atom

Cell and atoms, written as CIF:
```
data_PaAlSe3
_cell_length_a 16.316
_cell_length_b 4.072
_cell_length_c 7.728
_cell_angle_alpha 90.00
_cell_angle_beta 102.43
_cell_angle_gamma 90.00
_symmetry_space_group_name_H-M 'C 1 2/m 1'
_symmetry_Int_Tables_number 12
loop_
_symmetry_equiv_pos_as_xyz
'x,y,z'
'-x,-y,-z'
'-x,y,-z'
'x,-y,z'
'x+1/2,y+1/2,z'
'-x+1/2,-y+1/2,-z'
'-x+1/2,y+1/2,-z'
'x+1/2,-y+1/2,z'
loop_
_atom_site_label
_atom_site_type_symbol
_atom_site_fract_x
_atom_site_fract_y
_atom_site_fract_z
Pa1 Pa 0.211 0.000 0.234
Al1 Al 0.026 0.500 0.676
Se1 Se 0.034 0.000 0.214
Se2 Se 0.152 0.500 0.962
Se3 Se 0.179 0.000 0.595
```

=====

Material: Pa4AlSe7
Method: DFT, PBE-GGA
State: optimized geometry

Computed properties:
N(E_F) = 1.19 states/eV per atom
Magnetic moment = 3.0 μB/f.u.
Uncorrected formation energy = -1102.8 meV per atom

Cell and atoms, written as CIF:
```
data_Pa4AlSe7
_cell_length_a 4.0635
_cell_length_b 4.0635
_cell_length_c 24.6362
_cell_angle_alpha 90.00
_cell_angle_beta 90.00
_cell_angle_gamma 120.00
_symmetry_space_group_name_H-M 'P -3 m 1'
_symmetry_Int_Tables_number 164
_symmetry_space_group_name_Hall '-P 3 2"'
loop_
_atom_site_label
_atom_site_type_symbol
_atom_site_fract_x
_atom_site_fract_y
_atom_site_fract_z
Pa1 Pa 0.3333 0.6667 0.1535
Pa2 Pa 0.3333 0.6667 0.4338
Al1 Al 0.0000 0.0000 0.0000
Se1 Se 0.0000 0.0000 0.2184
Se2 Se 0.0000 0.0000 0.5000
Se3 Se 0.3333 0.6667 0.6321
Se4 Se 0.3333 0.6667 0.9191
```

=====

Material: PaAlSe6
Method: DFT, PBE-GGA
State: optimized geometry

Computed properties:
N(E_F) = 0.88 states/eV per atom
Magnetic moment = 0.0 μB/f.u.
Uncorrected formation energy = -396.6 meV per atom

Cell and atoms, written as CIF:
```
data_PaAlSe6
_cell_length_a 10.370
_cell_length_b 10.370
_cell_length_c 10.370
_cell_angle_alpha 90.00
_cell_angle_beta 90.00
_cell_angle_gamma 90.00
_symmetry_space_group_name_H-M 'F m -3 m'
_symmetry_Int_Tables_number 225
_symmetry_space_group_name_Hall '-F 4 2 3'
loop_
_atom_site_label
_atom_site_type_symbol
_atom_site_fract_x
_atom_site_fract_y
_atom_site_fract_z
Pa1 Pa 0.000 0.000 0.000
Al1 Al 0.000 0.000 0.500
Se1 Se 0.000 0.000 0.261
```

=====

Material: Sr2PaAlSe6
Method: DFT, PBE-GGA
State: optimized geometry

Computed properties:
Magnetic moment = 0.0 μB/f.u.
Uncorrected formation energy = -1478.9 meV per atom

Cell and atoms, written as CIF:
```
data_Sr2PaAlSe6
_cell_length_a 7.098
_cell_length_b 7.500
_cell_length_c 12.384
_cell_angle_alpha 90.00
_cell_angle_beta 124.09
_cell_angle_gamma 90.00
_symmetry_space_group_name_H-M 'P 1 21/c 1'
_symmetry_Int_Tables_number 14
loop_
_symmetry_equiv_pos_as_xyz
'x,y,z'
'-x,-y,-z'
'-x,y+1/2,-z+1/2'
'x,-y+1/2,z+1/2'
loop_
_atom_site_label
_atom_site_type_symbol
_atom_site_fract_x
_atom_site_fract_y
_atom_site_fract_z
Sr1 Sr 0.218 0.082 0.245
Pa1 Pa 0.500 0.000 0.000
Al1 Al 0.000 0.000 0.500
Se1 Se 0.137 0.205 0.951
Se2 Se 0.250 0.688 0.951
Se3 Se 0.337 0.018 0.739
```